Compound: Ho2MnPt
Source: the Alexandria database
Functional: GGA-PBE
Structure: optimized geometry

Structure (extended XYZ):
```
4
Lattice="3.522 0.000 0.000 0.000 3.522 0.000 0.000 0.000 6.856" Properties=species:S:1:pos:R:3 pbc="T T T"
Ho 0.000 0.000 1.678
Ho 0.000 0.000 5.178
Mn 1.761 1.761 3.428
Pt 1.761 1.761 0.000
```

Results
total DFT energy (no corrections) = -6.625 eV per atom

***

Compound: HoMnPtRh
Source: the Alexandria database
Functional: GGA-PBE
Structure: optimized geometry

Structure (extended XYZ):
```
4
Lattice="0.000 3.276 3.276 3.276 0.000 3.276 3.276 3.276 0.000" Properties=species:S:1:pos:R:3 pbc="T T T"
Ho 0.000 0.000 0.000
Mn 3.276 3.276 3.276
Pt 4.914 4.914 4.914
Rh 1.638 1.638 1.638
```

Results
total DFT energy (no corrections) = -7.415 eV per atom

***

Compound: Ho2MnSi3Pt4
Source: the Alexandria database
Functional: GGA-PBE
Structure: optimized geometry

Structure (extended XYZ):
```
10
Lattice="4.135 0.000 0.000 0.000 4.135 0.000 0.000 0.000 10.243" Properties=species:S:1:pos:R:3 pbc="T T T"
Ho 0.000 2.068 2.544
Ho 2.068 0.000 7.698
Mn 2.068 2.068 0.000
Si 0.000 0.000 0.000
Si 0.000 2.068 6.488
Si 2.068 0.000 3.755
Pt 0.000 0.000 5.121
Pt 0.000 2.068 8.819
Pt 2.068 0.000 1.424
Pt 2.068 2.068 5.121
```

Results
total DFT energy (no corrections) = -6.854 eV per atom
formation energy (no corrections) = -0.978 eV per atom